The following is a DFT calculation (PBEsol) of a relaxed structure of TlInPb.

a b c (Å): 3.3299 3.3299 8.3428
angles (deg): 97.19 97.19 111.88
Last column: nearest neighbours and their distance in Å.
Atoms (fractional coordinates):
Pb: 0.6636 0.6636 0.3273  2 In 3.26, 4 Pb 3.33, 2 Tl 3.38
Tl: 0.3368 0.3368 0.6736  2 In 3.24, 4 Tl 3.33, 2 Pb 3.38
In: 0.9995 0.9995 0.9991  2 Tl 3.24, 2 Pb 3.26, 4 In 3.33

Results
- Calculated formation energy: 0.024 eV/atom
- Symmetry: No. 42
- Theoretical density: 10.45 g/cm³
- Excess energy over the best structure of this formula in the dataset: 0.348 kcal/mol of atoms
- Fermi-level density of states: 1.43 states/eV/cell
- Final energy: -3.1803 eV/atom
- Size of the total moment: 0.0 μB/cell


The following is a DFT calculation (PBEsol) of a relaxed structure of In2AgHg.

a b c (Å): 3.2407 4.2266 6.3262
angles (deg): 90.00 90.03 90.00
Last column: nearest neighbours and their distance in Å.
Atoms (fractional coordinates):
Ag: 0.5000 0.5000 0.0000  8 In 3.06-3.07, 2 Hg 3.16, 2 Ag 3.24
Hg: 0.5000 0.5000 0.5000  8 In 3.13, 2 Ag 3.16, 2 Hg 3.24
In: 0.9978 0.0000 0.7600  4 In 3.04-3.29, 4 Ag 3.06-3.07, 4 Hg 3.13
In: 0.0022 0.0000 0.2400  4 In 3.04-3.29, 4 Ag 3.06-3.07, 4 Hg 3.13

Results
- Calculated formation energy: 0.023 eV/atom
- Symmetry: No. 10
- Theoretical density: 10.31 g/cm³
- Fermi-level density of states: 1.42 states/eV/cell
- Final energy: -2.4380 eV/atom
- Size of the total moment: 0.0 μB/cell


The following is a DFT calculation (PBEsol) of a relaxed structure of Zr3RhW.

a b c (Å): 4.9300 4.9300 4.9300
angles (deg): 90.00 90.00 90.00
Last column: nearest neighbours and their distance in Å.
Atoms (fractional coordinates):
Rh: 0.5000 0.5000 0.5000  12 Zr 3.49
Zr: 0.0000 0.5000 0.0000  2 W 2.47
Zr: 0.0000 0.0000 0.5000  2 W 2.47
Zr: 0.5000 0.0000 0.0000  2 W 2.47
W: 0.0000 0.0000 0.0000  6 Zr 2.47

Results
- Calculated formation energy: 1.092 eV/atom
- Symmetry: No. 221
- Theoretical density: 7.77 g/cm³
- Excess energy over the best structure of this formula in the dataset: 4.921 kcal/mol of atoms
- Fermi-level density of states: 7.07 states/eV/cell
- Final energy: -8.7507 eV/atom
- Size of the total moment: 0.0 μB/cell


The following is a DFT calculation (PBEsol) of a relaxed structure of Ca2LaNi.

a b c (Å): 3.7073 3.7073 10.2074
angles (deg): 79.54 79.54 60.00
Last column: nearest neighbours and their distance in Å.
Atoms (fractional coordinates):
Ni: 0.0000 0.0000 0.0000  6 Ca 2.72
Ca: 0.2770 0.2770 0.1689  3 Ni 2.72
Ca: 0.7230 0.7230 0.8311  3 Ni 2.72
La: 0.5000 0.5000 0.5000  6 La 3.71, 6 Ca 3.94

Results
- Calculated formation energy: 0.150 eV/atom
- Symmetry: No. 166
- Theoretical density: 3.88 g/cm³
- Excess energy over the best structure of this formula in the dataset: 5.165 kcal/mol of atoms
- Fermi-level density of states: 4.30 states/eV/cell
- Final energy: -3.7921 eV/atom
- Size of the total moment: 0.0 μB/cell


The following is a DFT calculation (PBEsol) of a relaxed structure of LiB2Pt.

a b c (Å): 3.7229 3.7229 3.7229
angles (deg): 60.00 60.00 60.00
Last column: nearest neighbours and their distance in Å.
Atoms (fractional coordinates):
B: 0.2500 0.2500 0.2500  4 Li 2.28, 4 Pt 2.28
B: 0.7500 0.7500 0.7500  4 Li 2.28, 4 Pt 2.28
Pt: 0.5000 0.5000 0.5000  8 B 2.28
Li: 0.0000 0.0000 0.0000  8 B 2.28

Results
- Calculated formation energy: 0.127 eV/atom
- Symmetry: No. 225
- Theoretical density: 10.18 g/cm³
- Fermi-level density of states: 1.10 states/eV/cell
- Final energy: -5.6137 eV/atom
- Size of the total moment: 0.0 μB/cell


The following is a DFT calculation (PBEsol) of a relaxed structure of Mn5Re24.

a b c (Å): 8.2313 8.2313 8.2313
angles (deg): 109.47 109.47 109.47
Last column: nearest neighbours and their distance in Å.
Atoms (fractional coordinates):
Mn: 0.3506 0.3506 0.3506  9 Re 2.71-2.86, 1 Mn 2.89
Mn: 0.0000 0.6494 0.0000  9 Re 2.71-2.86, 1 Mn 2.89
Mn: 0.0000 0.0000 0.6494  9 Re 2.71-2.86, 1 Mn 2.89
Mn: 0.6494 0.0000 0.0000  9 Re 2.71-2.86, 1 Mn 2.89
Mn: 0.0000 0.0000 0.0000  4 Mn 2.89, 12 Re 2.98
Re: 0.6234 0.8168 0.6234  6 Re 2.46-2.68
Re: 0.8066 0.1832 0.8066  6 Re 2.46-2.68
Re: 0.1934 0.0000 0.3766  6 Re 2.46-2.68
Re: 0.3766 0.0000 0.1934  6 Re 2.46-2.68
Re: 0.8168 0.6234 0.6234  6 Re 2.46-2.68
Re: 0.1832 0.8066 0.8066  6 Re 2.46-2.68
Re: 0.0000 0.3766 0.1934  6 Re 2.46-2.68
Re: 0.0000 0.1934 0.3766  6 Re 2.46-2.68
Re: 0.6234 0.6234 0.8168  6 Re 2.46-2.68
Re: 0.8066 0.8066 0.1832  6 Re 2.46-2.68
Re: 0.3766 0.1934 0.0000  6 Re 2.46-2.68
Re: 0.1934 0.3766 0.0000  6 Re 2.46-2.68
Re: 0.5973 0.2820 0.5973  7 Re 2.55-2.81, 1 Mn 2.71
Re: 0.3153 0.7180 0.3153  7 Re 2.55-2.81, 1 Mn 2.71
Re: 0.6847 0.0000 0.4027  7 Re 2.55-2.81, 1 Mn 2.71
Re: 0.4027 0.0000 0.6847  7 Re 2.55-2.81, 1 Mn 2.71
Re: 0.2820 0.5973 0.5973  7 Re 2.55-2.81, 1 Mn 2.71
Re: 0.7180 0.3153 0.3153  7 Re 2.55-2.81, 1 Mn 2.71
Re: 0.0000 0.4027 0.6847  7 Re 2.55-2.81, 1 Mn 2.71
Re: 0.0000 0.6847 0.4027  7 Re 2.55-2.81, 1 Mn 2.71
Re: 0.5973 0.5973 0.2820  7 Re 2.55-2.81, 1 Mn 2.71
Re: 0.3153 0.3153 0.7180  7 Re 2.55-2.81, 1 Mn 2.71
Re: 0.4027 0.6847 0.0000  7 Re 2.55-2.81, 1 Mn 2.71
Re: 0.6847 0.4027 0.0000  7 Re 2.55-2.81, 1 Mn 2.71

Results
- Calculated formation energy: 0.082 eV/atom
- Symmetry: No. 217
- Theoretical density: 18.35 g/cm³
- Fermi-level density of states: 21.59 states/eV/cell
- Final energy: -12.6342 eV/atom
- Size of the total moment: 16.3 μB/cell


The following is a DFT calculation (PBEsol) of a relaxed structure of K2IrRh.

a b c (Å): 2.8394 4.4889 9.5808
angles (deg): 93.14 90.00 108.44
Last column: nearest neighbours and their distance in Å.
Atoms (fractional coordinates):
Ir: 0.2430 0.4861 0.6570  3 Rh 2.37-2.50
K: 0.9881 0.9761 0.9000  2 K 2.84
K: 0.7610 0.5220 0.3500  2 K 2.84
Rh: 0.5079 0.0158 0.5930  3 Ir 2.37-2.50

Results
- Calculated formation energy: 0.500 eV/atom
- Symmetry: No. 8
- Theoretical density: 5.36 g/cm³
- Excess energy over the best structure of this formula in the dataset: 0.000 kcal/mol of atoms
- Fermi-level density of states: 3.09 states/eV/cell
- Final energy: -4.5572 eV/atom
- Size of the total moment: 0.0 μB/cell


The following is a DFT calculation (PBEsol) of a relaxed structure of TlPPbS2.

a b c (Å): 4.9824 5.0579 5.0579
angles (deg): 90.00 90.00 90.00
Last column: nearest neighbours and their distance in Å.
Atoms (fractional coordinates):
Pb: 0.5000 0.5000 0.5000  8 S 3.55, 4 P 3.58
P: 0.5000 0.0000 0.0000  2 Tl 2.49
Tl: 0.0000 0.0000 0.0000  2 P 2.49, 4 S 2.53
S: 0.0000 0.0000 0.5000  2 Tl 2.53
S: 0.0000 0.5000 0.0000  2 Tl 2.53

Results
- Symmetry: No. 123
- Theoretical density: 6.60 g/cm³
- Uncorrected formation energy: 0.61 eV per atom
- Fermi-level density of states: 4.60 states/eV/cell
- Final energy: -3.6284 eV/atom
- Size of the total moment: 0.0 μB/cell


The following is a DFT calculation (PBEsol) of a relaxed structure of Ba2SnHg.

a b c (Å): 5.8669 5.8669 5.8669
angles (deg): 60.00 60.00 60.00
Last column: nearest neighbours and their distance in Å.
Atoms (fractional coordinates):
Ba: 0.2500 0.2500 0.2500  4 Hg 3.59, 4 Sn 3.59
Ba: 0.7500 0.7500 0.7500  4 Hg 3.59, 4 Sn 3.59
Hg: 0.5000 0.5000 0.5000  8 Ba 3.59
Sn: 0.0000 0.0000 0.0000  8 Ba 3.59

Results
- Calculated formation energy: -0.651 eV/atom
- Symmetry: No. 225
- Theoretical density: 6.91 g/cm³
- Fermi-level density of states: 0.13 states/eV/cell
- Final energy: -2.9323 eV/atom
- Size of the total moment: 0.0 μB/cell


The following is a DFT calculation (PBEsol) of a relaxed structure of LuNiO3.

a b c (Å): 5.0202 5.4876 7.1514
angles (deg): 90.00 90.00 90.00
Last column: nearest neighbours and their distance in Å.
Atoms (fractional coordinates):
Lu: 0.5256 0.5850 0.2500  6 O 2.17-2.35
Lu: 0.9744 0.0850 0.2500  6 O 2.17-2.35
Lu: 0.4744 0.4150 0.7500  6 O 2.17-2.35
Lu: 0.0256 0.9150 0.7500  6 O 2.17-2.35
Ni: 0.0000 0.5000 0.0000  6 O 1.89-1.97
Ni: 0.5000 0.0000 0.5000  6 O 1.89-1.97
Ni: 0.0000 0.5000 0.5000  6 O 1.89-1.97
Ni: 0.5000 0.0000 0.0000  6 O 1.89-1.97
O: 0.3849 0.9632 0.2500  2 Ni 1.89
O: 0.1151 0.4632 0.2500  2 Ni 1.89
O: 0.6151 0.0368 0.7500  2 Ni 1.89
O: 0.8849 0.5368 0.7500  2 Ni 1.89
O: 0.8134 0.8077 0.0541  2 Ni 1.93-1.97
O: 0.6866 0.3077 0.4459  2 Ni 1.93-1.97
O: 0.1866 0.1923 0.5541  2 Ni 1.93-1.97
O: 0.3134 0.6923 0.9459  2 Ni 1.93-1.97
O: 0.1866 0.1923 0.9459  2 Ni 1.93-1.97
O: 0.3134 0.6923 0.5541  2 Ni 1.93-1.97
O: 0.8134 0.8077 0.4459  2 Ni 1.93-1.97
O: 0.6866 0.3077 0.0541  2 Ni 1.93-1.97

Results
- Symmetry: No. 62
- Theoretical density: 9.50 g/cm³
- Uncorrected formation energy: -2.31 eV per atom
- Fermi-level density of states: 7.32 states/eV/cell
- Final energy: -7.6637 eV/atom
- Size of the total moment: 2.6 μB/cell